Record 1
{
  "formula": "La2BeTl",
  "functional": "GGA-PBEsol",
  "state": "optimized geometry",
  "lattice": [[4.537, 0.000, 0.000], [0.000, 4.537, 0.000], [0.000, 0.000, 9.825]],
  "species": ["La", "La", "La", "La", "Be", "Be", "Tl", "Tl"],
  "frac_coords": [[0.000, 0.000, 0.000], [0.000, 0.500, 0.250], [0.500, 0.000, 0.750], [0.500, 0.500, 0.500], [0.000, 0.500, 0.750], [0.500, 0.000, 0.250], [0.000, 0.000, 0.500], [0.500, 0.500, 0.000]],
  "relative_energy_mev_per_atom": 129,
  "final_energy_ev_per_atom": -4.30
}

---

Record 2
{
  "formula": "ZrNb2HgB",
  "functional": "GGA-PBEsol",
  "state": "optimized geometry",
  "lattice": [[5.143, 0.000, 0.000], [0.000, 5.143, 0.000], [0.000, 0.000, 3.940]],
  "species": ["Zr", "Nb", "Nb", "Hg", "B"],
  "frac_coords": [[0.000, 0.000, 0.000], [0.000, 0.500, 0.500], [0.500, 0.000, 0.500], [0.500, 0.500, 0.500], [0.500, 0.500, 0.000]],
  "final_energy_ev_per_atom": -6.07
}

---

Record 3
{
  "formula": "VBiO4",
  "functional": "GGA-PBEsol",
  "state": "optimized geometry",
  "lattice": [[5.028, 0.000, 0.000], [0.000, 11.824, 0.000], [0.000, 0.000, 5.260]],
  "species": ["V", "V", "V", "V", "Bi", "Bi", "Bi", "Bi", "O", "O", "O", "O", "O", "O", "O", "O", "O", "O", "O", "O", "O", "O", "O", "O"],
  "frac_coords": [[0.000, 0.105, 0.250], [0.000, 0.895, 0.750], [0.500, 0.395, 0.750], [0.500, 0.605, 0.250], [0.000, 0.381, 0.250], [0.000, 0.619, 0.750], [0.500, 0.119, 0.750], [0.500, 0.881, 0.250], [0.150, 0.194, 0.045], [0.150, 0.806, 0.545], [0.246, 0.467, 0.921], [0.246, 0.533, 0.421], [0.254, 0.033, 0.421], [0.254, 0.967, 0.921], [0.350, 0.306, 0.545], [0.350, 0.694, 0.045], [0.650, 0.306, 0.955], [0.650, 0.694, 0.455], [0.746, 0.033, 0.079], [0.746, 0.967, 0.579], [0.754, 0.467, 0.579], [0.754, 0.533, 0.079], [0.850, 0.194, 0.455], [0.850, 0.806, 0.955]],
  "final_energy_ev_per_atom": -7.80,
  "formation_energy_uncorrected_ev_per_atom": -1.9757
}

---

Record 4
{
  "formula": "Ti13O22",
  "functional": "GGA-PBEsol",
  "state": "optimized geometry",
  "lattice": [[5.711, -5.030, 0.000], [5.711, 5.030, 0.000], [0.000, 0.000, 13.919]],
  "species": ["Ti", "Ti", "Ti", "Ti", "Ti", "Ti", "Ti", "Ti", "Ti", "Ti", "Ti", "Ti", "Ti", "Ti", "Ti", "Ti", "Ti", "Ti", "Ti", "Ti", "Ti", "Ti", "Ti", "Ti", "Ti", "Ti", "O", "O", "O", "O", "O", "O", "O", "O", "O", "O", "O", "O", "O", "O", "O", "O", "O", "O", "O", "O", "O", "O", "O", "O", "O", "O", "O", "O", "O", "O", "O", "O", "O", "O", "O", "O", "O", "O", "O", "O", "O", "O", "O", "O"],
  "frac_coords": [[0.000, 0.000, 0.000], [0.054, 0.427, 0.150], [0.060, 0.197, 0.818], [0.073, 0.446, 0.350], [0.164, 0.836, 0.657], [0.197, 0.060, 0.182], [0.234, 0.234, 0.500], [0.266, 0.266, 0.000], [0.303, 0.440, 0.682], [0.336, 0.664, 0.157], [0.427, 0.054, 0.850], [0.440, 0.303, 0.318], [0.446, 0.073, 0.650], [0.500, 0.500, 0.500], [0.554, 0.927, 0.350], [0.560, 0.697, 0.682], [0.573, 0.946, 0.150], [0.664, 0.336, 0.843], [0.697, 0.560, 0.318], [0.734, 0.734, 0.000], [0.766, 0.766, 0.500], [0.803, 0.940, 0.818], [0.836, 0.164, 0.343], [0.927, 0.554, 0.650], [0.940, 0.803, 0.182], [0.946, 0.573, 0.850], [0.015, 0.985, 0.749], [0.025, 0.226, 0.419], [0.043, 0.210, 0.080], [0.102, 0.392, 0.909], [0.108, 0.398, 0.591], [0.113, 0.624, 0.243], [0.124, 0.613, 0.743], [0.150, 0.850, 0.098], [0.210, 0.043, 0.920], [0.218, 0.282, 0.250], [0.226, 0.025, 0.581], [0.274, 0.475, 0.081], [0.282, 0.218, 0.750], [0.290, 0.457, 0.420], [0.350, 0.650, 0.598], [0.376, 0.887, 0.243], [0.387, 0.876, 0.743], [0.392, 0.102, 0.091], [0.398, 0.108, 0.409], [0.457, 0.290, 0.580], [0.475, 0.274, 0.919], [0.485, 0.515, 0.249], [0.515, 0.485, 0.751], [0.525, 0.726, 0.081], [0.543, 0.710, 0.420], [0.602, 0.892, 0.591], [0.608, 0.898, 0.909], [0.613, 0.124, 0.257], [0.624, 0.113, 0.757], [0.650, 0.350, 0.402], [0.710, 0.543, 0.580], [0.718, 0.782, 0.250], [0.726, 0.525, 0.919], [0.774, 0.975, 0.419], [0.782, 0.718, 0.750], [0.790, 0.957, 0.080], [0.850, 0.150, 0.902], [0.876, 0.387, 0.257], [0.887, 0.376, 0.757], [0.892, 0.602, 0.409], [0.898, 0.608, 0.091], [0.957, 0.790, 0.920], [0.975, 0.774, 0.581], [0.985, 0.015, 0.251]],
  "final_energy_ev_per_atom": -9.38,
  "formation_energy_uncorrected_ev_per_atom": -2.9897
}

---

Record 5
{
  "formula": "BSNF2",
  "functional": "GGA-PBEsol",
  "state": "optimized geometry",
  "lattice": [[4.342, 0.000, 0.000], [0.000, 4.342, 0.000], [0.000, 0.000, 3.272]],
  "species": ["B", "S", "N", "F", "F"],
  "frac_coords": [[0.000, 0.000, 0.000], [0.500, 0.500, 0.500], [0.500, 0.500, 0.000], [0.000, 0.500, 0.500], [0.500, 0.000, 0.500]],
  "final_energy_ev_per_atom": -3.99,
  "formation_energy_uncorrected_ev_per_atom": 0.7651
}

---

Record 6
{
  "formula": "AlNi6Ru",
  "functional": "GGA-PBEsol",
  "state": "optimized geometry",
  "lattice": [[3.534, -4.994, 0.000], [3.534, 4.994, 0.000], [0.000, 0.000, 9.988]],
  "species": ["Al", "Al", "Al", "Al", "Ni", "Ni", "Ni", "Ni", "Ni", "Ni", "Ni", "Ni", "Ni", "Ni", "Ni", "Ni", "Ni", "Ni", "Ni", "Ni", "Ni", "Ni", "Ni", "Ni", "Ni", "Ni", "Ni", "Ni", "Ru", "Ru", "Ru", "Ru"],
  "frac_coords": [[0.000, 0.000, 0.248], [0.000, 0.000, 0.752], [0.250, 0.750, 0.000], [0.750, 0.250, 0.000], [0.000, 0.000, 0.000], [0.000, 0.000, 0.500], [0.125, 0.375, 0.374], [0.125, 0.375, 0.626], [0.126, 0.375, 0.125], [0.126, 0.375, 0.875], [0.251, 0.749, 0.251], [0.251, 0.749, 0.749], [0.375, 0.125, 0.374], [0.375, 0.125, 0.626], [0.375, 0.126, 0.125], [0.375, 0.126, 0.875], [0.500, 0.500, 0.000], [0.500, 0.500, 0.500], [0.625, 0.874, 0.125], [0.625, 0.874, 0.875], [0.625, 0.875, 0.374], [0.625, 0.875, 0.626], [0.749, 0.251, 0.251], [0.749, 0.251, 0.749], [0.874, 0.625, 0.125], [0.874, 0.625, 0.875], [0.875, 0.625, 0.374], [0.875, 0.625, 0.626], [0.249, 0.751, 0.500], [0.500, 0.500, 0.249], [0.500, 0.500, 0.751], [0.751, 0.249, 0.500]],
  "final_energy_ev_per_atom": -6.56
}

---

Record 7
{
  "formula": "Li2LaGe2",
  "functional": "GGA-PBEsol",
  "state": "optimized geometry",
  "lattice": [[4.219, 0.000, 0.000], [0.000, 4.219, 0.000], [0.000, 0.000, 11.115]],
  "species": ["Li", "Li", "Li", "Li", "La", "La", "Ge", "Ge", "Ge", "Ge"],
  "frac_coords": [[0.000, 0.500, 0.250], [0.000, 0.500, 0.750], [0.500, 0.000, 0.250], [0.500, 0.000, 0.750], [0.000, 0.000, 0.000], [0.500, 0.500, 0.500], [0.000, 0.000, 0.390], [0.000, 0.000, 0.610], [0.500, 0.500, 0.110], [0.500, 0.500, 0.890]],
  "final_energy_ev_per_atom": -4.45
}

---

Record 8
{
  "formula": "AlZnCd2",
  "functional": "GGA-PBEsol",
  "state": "optimized geometry",
  "lattice": [[2.874, 0.000, 0.000], [-1.437, 2.489, 0.000], [0.000, 0.000, 30.778]],
  "species": ["Al", "Al", "Al", "Zn", "Zn", "Zn", "Cd", "Cd", "Cd", "Cd", "Cd", "Cd"],
  "frac_coords": [[0.000, 0.000, 0.000], [0.333, 0.667, 0.667], [0.667, 0.333, 0.333], [0.000, 0.000, 0.261], [0.333, 0.667, 0.927], [0.667, 0.333, 0.594], [0.000, 0.000, 0.513], [0.000, 0.000, 0.753], [0.333, 0.667, 0.180], [0.333, 0.667, 0.419], [0.667, 0.333, 0.086], [0.667, 0.333, 0.846]],
  "relative_energy_mev_per_atom": 0,
  "final_energy_ev_per_atom": -1.95
}